[1]
PBE-GGA Tc2Ge2Pb, optimized geometry; offset from the most stable computed form = 0.096 eV/atom; total magnetic moment = 0.00 μB/cell
1.0
-6.754 2.876 -2.320
-3.026 -7.079 0.035
-0.817 0.363 2.828
Tc Ge Pb
4 4 2
Direct
0.354 0.146 0.500
0.646 0.854 0.500
0.146 0.646 0.500
0.854 0.354 0.500
0.138 0.362 0.000
0.862 0.638 0.000
0.638 0.138 0.000
0.362 0.862 0.000
0.500 0.500 0.000
0.000 0.000 0.000

[2]
PBE-GGA Pm4AlTl2Hg, optimized geometry; total magnetic moment = 0.00 μB/cell; calculated total energy = -3.86 eV/atom
1.0
5.417 0.000 0.000
2.709 4.691 0.000
2.709 1.564 8.824
Tl Pm Hg Al
2 4 1 1
Direct
0.747 0.747 0.758
0.253 0.253 0.242
0.873 0.873 0.381
0.623 0.623 0.132
0.127 0.127 0.619
0.377 0.377 0.868
0.000 0.000 0.000
0.500 0.500 0.500

[3]
PBE-GGA KPb2Cl, optimized geometry; E_form (uncorrected) = -693 meV per atom; offset from the most stable computed form = 0.014 eV/atom; total magnetic moment = 0.00 μB/cell
1.0
4.539 0.000 0.000
0.000 3.944 -0.140
0.000 2.322 8.285
K Pb Cl
1 2 1
Direct
0.500 0.761 0.612
0.000 0.040 0.038
0.500 0.467 0.181
0.000 0.232 0.668